{
  "formula": "Al2FeOs",
  "functional": "SCAN",
  "state": "PBEsol geometry",
  "ef_mev_per_atom": -413,
  "space_group": "Imm2, No. 44",
  "dft_energy_ev_per_atom": -26.792,
  "lattice": [[2.916, 0.000, 0.000], [0.000, 4.054, 0.000], [0.000, 0.000, 8.620]],
  "species": ["Al", "Al", "Al", "Al", "Fe", "Fe", "Os", "Os"],
  "frac_coords": [[0.000, 0.000, 0.000], [0.000, 0.500, 0.228], [0.500, 0.000, 0.728], [0.500, 0.500, 0.500], [0.000, 0.500, 0.734], [0.500, 0.000, 0.234], [0.000, 0.000, 0.472], [0.500, 0.500, 0.972]]
}